Compound: Cs3CdNi2F9
Source: Alexandria
Functional: PBE+U
Structure: relaxed

abc: 6.127 6.127 7.517
angles: 90.00 90.00 120.00
Sites, in units of the cell vectors:
1 Cs 0.000 0.000 0.000
2 Cs 0.333 0.667 0.668
3 Cs 0.667 0.333 0.332
4 Cd 0.000 0.000 0.500
5 Ni 0.333 0.667 0.158
6 Ni 0.667 0.333 0.842
7 F 0.000 0.500 0.000
8 F 0.176 0.351 0.320
9 F 0.176 0.824 0.320
10 F 0.351 0.176 0.680
11 F 0.500 0.000 0.000
12 F 0.500 0.500 0.000
13 F 0.649 0.824 0.320
14 F 0.824 0.176 0.680
15 F 0.824 0.649 0.680

Results
* E_tot: -4.11 eV/atom
* symmetry: P-3m1

=====

Compound: Cs2CdNi3F12
Source: Alexandria
Functional: PBE+U
Structure: relaxed

abc: 7.472 7.472 7.472
angles: 59.56 59.56 59.56
Sites, in units of the cell vectors:
1 Cs 0.116 0.116 0.116
2 Cs 0.884 0.884 0.884
3 Cd 0.500 0.500 0.500
4 Ni 0.000 0.500 0.500
5 Ni 0.500 0.000 0.500
6 Ni 0.500 0.500 0.000
7 F 0.134 0.590 0.590
8 F 0.196 0.196 0.584
9 F 0.196 0.584 0.196
10 F 0.410 0.410 0.866
11 F 0.410 0.866 0.410
12 F 0.416 0.804 0.804
13 F 0.584 0.196 0.196
14 F 0.590 0.134 0.590
15 F 0.590 0.590 0.134
16 F 0.804 0.416 0.804
17 F 0.804 0.804 0.416
18 F 0.866 0.410 0.410

Results
* E_tot: -3.96 eV/atom
* symmetry: R-3m

=====

Compound: Cs2Cd3NiF12
Source: Alexandria
Functional: PBE+U
Structure: relaxed

abc: 7.832 7.832 7.832
angles: 59.52 59.52 59.52
Sites, in units of the cell vectors:
1 Cs 0.132 0.132 0.132
2 Cs 0.868 0.868 0.868
3 Cd 0.000 0.500 0.500
4 Cd 0.500 0.000 0.500
5 Cd 0.500 0.500 0.000
6 Ni 0.500 0.500 0.500
7 F 0.156 0.156 0.562
8 F 0.156 0.562 0.156
9 F 0.226 0.558 0.558
10 F 0.438 0.844 0.844
11 F 0.442 0.442 0.774
12 F 0.442 0.774 0.442
13 F 0.558 0.226 0.558
14 F 0.558 0.558 0.226
15 F 0.562 0.156 0.156
16 F 0.774 0.442 0.442
17 F 0.844 0.438 0.844
18 F 0.844 0.844 0.438

Results
* E_tot: -3.78 eV/atom
* symmetry: R-3m

=====

Compound: CsCdNiF6
Source: Alexandria
Functional: PBE+U
Structure: relaxed

abc: 7.382 7.382 7.382
angles: 118.42 116.58 94.39
Sites, in units of the cell vectors:
1 Cs 0.399 0.149 0.250
2 Cs 0.601 0.851 0.750
3 Cd 0.000 0.000 0.500
4 Cd 0.000 0.500 0.000
5 Ni 0.000 0.500 0.500
6 Ni 0.500 0.500 0.000
7 F 0.106 0.856 0.250
8 F 0.144 0.456 0.342
9 F 0.144 0.802 0.688
10 F 0.203 0.453 0.750
11 F 0.386 0.198 0.842
12 F 0.386 0.544 0.188
13 F 0.614 0.456 0.812
14 F 0.614 0.802 0.158
15 F 0.797 0.547 0.250
16 F 0.856 0.198 0.312
17 F 0.856 0.544 0.658
18 F 0.894 0.144 0.750

Results
* E_tot: -3.89 eV/atom
* symmetry: Imma

=====

- Number 3 is which compound?
  Cs2Cd3NiF12